# 1
Computed, not measured: MnVNi after structural relaxation at the GGA-PBE level of DFT.

abc: 2.4123 4.0843 4.0843
angles: 120.00 90.00 90.00
Closest atoms and distances in Å follow each position.
Fractional coordinates of all 3 atoms:
Ni (0.9613, 0.0000, 0.0000)  2 Ni 2.41, 3 V 2.47, 3 Mn 2.56
V (0.6609, 0.6667, 0.3333)  2 V 2.41, 3 Mn 2.45, 3 Ni 2.47
Mn (0.3778, 0.3333, 0.6667)  2 Mn 2.41, 3 V 2.45, 3 Ni 2.56

Values from the calculation:
* size of the total moment: 0.69 μB per cell
* ΔE to the lowest computed polymorph: 38 meV/atom

---

# 2
Computed, not measured: Mn3VNi after structural relaxation at the GGA-PBE level of DFT.

abc: 4.3272 4.3272 4.3272
angles: 90.00 90.00 90.00
Closest atoms and distances in Å follow each position.
Fractional coordinates of all 5 atoms:
Ni (0.5000, 0.5000, 0.5000)  12 Mn 3.06
V (0.0000, 0.0000, 0.0000)  6 Mn 2.16
Mn (0.5000, 0.0000, 0.0000)  2 V 2.16
Mn (0.0000, 0.0000, 0.5000)  2 V 2.16
Mn (0.0000, 0.5000, 0.0000)  2 V 2.16

Values from the calculation:
* size of the total moment: 8.21 μB per cell
* ΔE to the lowest computed polymorph: 249 meV/atom

---

# 3
Computed, not measured: Mn4VNi after structural relaxation at the GGA-PBE level of DFT.

abc: 4.6049 4.6049 4.6049
angles: 60.00 60.00 60.00
Closest atoms and distances in Å follow each position.
Fractional coordinates of all 6 atoms:
Mn (0.1200, 0.6267, 0.6267)  6 Mn 2.27-2.33
Mn (0.6267, 0.1200, 0.6267)  6 Mn 2.27-2.33
V (0.2500, 0.2500, 0.2500)  12 Mn 2.70, 4 Ni 2.82
Mn (0.6267, 0.6267, 0.6267)  6 Mn 2.27-2.33
Mn (0.6267, 0.6267, 0.1200)  6 Mn 2.27-2.33
Ni (0.0000, 0.0000, 0.0000)  12 Mn 2.70, 4 V 2.82

Values from the calculation:
* size of the total moment: 0.02 μB per cell

---

# 4
Computed, not measured: Mn2VNi4 after structural relaxation at the GGA-PBE level of DFT.

abc: 4.2323 4.2323 6.8032
angles: 71.88 71.88 90.00
Closest atoms and distances in Å follow each position.
Fractional coordinates of all 7 atoms:
Ni (0.1818, 0.1818, 0.6364)  1 V 2.22, 1 Mn 2.43
V (0.0000, 0.0000, 0.0000)  6 Ni 2.12-2.22
Mn (0.6193, 0.6193, 0.7615)  5 Ni 2.43-2.57
Mn (0.3807, 0.3807, 0.2385)  5 Ni 2.43-2.57
Ni (0.8182, 0.8182, 0.3636)  1 V 2.22, 1 Mn 2.43
Ni (0.5000, 0.0000, 0.0000)  2 V 2.12
Ni (0.0000, 0.5000, 0.0000)  2 V 2.12

Values from the calculation:
* size of the total moment: 7.72 μB per cell

---

| no. | energy (eV for the cell shown) | energy of formation (kJ/mol of atoms) |
| --- | --- | --- |
| 1 | -24.08 | -0.5 |
| 2 | -36.68 | 110.6 |
| 3 | -51.29 | 4.7 |
| 4 | -44.65 | 81.8 |